A relaxed YRe3Au crystal. Source: the Alexandria database, functional GGA-PBEsol.

Cell: 4.7914 4.7914 4.7914 Å, 90.00 90.00 90.00°
Closest atoms and distances in Å follow each position.
Atoms (fractional coordinates):
Y 0.0000 0.0000 0.0000  12 Re 3.39
Re 0.0000 0.5000 0.5000  2 Au 2.40
Re 0.5000 0.0000 0.5000  2 Au 2.40
Re 0.5000 0.5000 0.0000  2 Au 2.40
Au 0.5000 0.5000 0.5000  6 Re 2.40

---

A relaxed YRe2Au crystal. Source: the Alexandria database, functional GGA-PBEsol.

Cell: 2.7514 2.7514 9.0580 Å, 90.00 90.00 90.00°
Closest atoms and distances in Å follow each position.
Atoms (fractional coordinates):
Y 0.0000 0.0000 0.0000  4 Y 2.75
Re 0.5000 0.5000 0.2685  4 Re 2.75, 4 Au 2.86
Re 0.5000 0.5000 0.7315  4 Re 2.75, 4 Au 2.86
Au 0.0000 0.0000 0.5000  4 Au 2.75, 8 Re 2.86

Results
Excess energy over the best structure of this formula in the dataset ... 278 meV per atom

---

A relaxed YRe2Au crystal. Source: the Alexandria database, functional GGA-PBEsol.

Cell: 3.0240 4.9446 4.7621 Å, 90.00 93.10 90.00°
Closest atoms and distances in Å follow each position.
Atoms (fractional coordinates):
Y 0.0000 0.0000 0.0000  4 Au 2.75-2.89, 4 Re 2.92, 2 Y 3.02
Re 0.3250 0.5000 0.7590  2 Re 2.47-2.74
Re 0.6750 0.5000 0.2410  2 Re 2.47-2.74
Au 0.5000 0.0000 0.5000  4 Y 2.75-2.89, 4 Re 2.83, 2 Au 3.02

Results
Excess energy over the best structure of this formula in the dataset ... 34 meV per atom

---

A relaxed YRe2Au crystal. Source: the Alexandria database, functional GGA-PBEsol.

Cell: 3.9237 3.9237 4.4759 Å, 90.00 90.00 90.00°
Closest atoms and distances in Å follow each position.
Atoms (fractional coordinates):
Y 0.0000 0.0000 0.0000  4 Au 2.77, 8 Re 2.98
Re 0.0000 0.5000 0.5000  4 Re 2.77, 4 Y 2.98, 4 Au 2.98
Re 0.5000 0.0000 0.5000  4 Re 2.77, 4 Y 2.98, 4 Au 2.98
Au 0.5000 0.5000 0.0000  4 Y 2.77, 8 Re 2.98

Results
Excess energy over the best structure of this formula in the dataset ... 0 meV per atom

---

A relaxed Zn2ReAu crystal. Source: the Alexandria database, functional GGA-PBEsol.

Cell: 2.6921 2.6921 8.0438 Å, 90.00 90.00 90.00°
Closest atoms and distances in Å follow each position.
Atoms (fractional coordinates):
Zn 0.0000 0.0000 0.2437  4 Zn 2.69, 4 Re 2.73, 4 Au 2.81
Zn 0.0000 0.0000 0.7563  4 Zn 2.69, 4 Re 2.73, 4 Au 2.81
Re 0.5000 0.5000 0.0000  4 Re 2.69, 8 Zn 2.73
Au 0.5000 0.5000 0.5000  4 Au 2.69, 8 Zn 2.81

Results
Excess energy over the best structure of this formula in the dataset ... 0 meV per atom

---

A relaxed ZnReAu2 crystal. Source: the Alexandria database, functional GGA-PBEsol.

Cell: 4.8530 4.8530 2.6867 Å, 90.00 90.00 90.00°
Closest atoms and distances in Å follow each position.
Atoms (fractional coordinates):
Zn 0.0000 0.0000 0.0000  2 Zn 2.69, 8 Au 2.77
Re 0.5000 0.5000 0.0000  2 Re 2.69, 8 Au 2.77
Au 0.0000 0.5000 0.5000  2 Au 2.69, 4 Re 2.77, 4 Zn 2.77
Au 0.5000 0.0000 0.5000  2 Au 2.69, 4 Re 2.77, 4 Zn 2.77

---

A relaxed Zn2ReAu crystal. Source: the Alexandria database, functional GGA-PBEsol.

Cell: 4.6492 4.6492 4.6492 Å, 129.44 129.44 74.30°
Closest atoms and distances in Å follow each position.
Atoms (fractional coordinates):
Zn 0.2500 0.7500 0.5000  4 Re 2.72, 4 Au 2.72, 4 Zn 2.81
Zn 0.7500 0.2500 0.5000  4 Re 2.72, 4 Au 2.72, 4 Zn 2.81
Re 0.0000 0.0000 0.0000  8 Zn 2.72, 4 Au 2.81
Au 0.5000 0.5000 0.0000  8 Zn 2.72, 4 Re 2.81

Results
Excess energy over the best structure of this formula in the dataset ... 275 meV per atom

---

A relaxed ZnReAu2 crystal. Source: the Alexandria database, functional GGA-PBEsol.

Cell: 4.7686 4.7686 4.7686 Å, 129.81 129.81 73.71°
Closest atoms and distances in Å follow each position.
Atoms (fractional coordinates):
Zn 0.0000 0.0000 0.0000  4 Re 2.78, 8 Au 2.78-2.86
Re 0.2500 0.7500 0.5000  4 Zn 2.78, 8 Au 2.78-2.86
Au 0.5000 0.5000 0.0000  4 Re 2.78, 4 Au 2.78, 4 Zn 2.86
Au 0.7500 0.2500 0.5000  4 Zn 2.78, 4 Au 2.78, 4 Re 2.86

---

Number 1: density of states at the Fermi level 2.24 states/eV/atom, formation energy 2304.8 meV/atom, theoretical density 12749 kg/m3. Number 2: density of states at the Fermi level 1.11 states/eV/atom, formation energy 579.2 meV/atom, theoretical density 15941 kg/m3. Number 3: density of states at the Fermi level 0.78 states/eV/atom, formation energy 335.1 meV/atom, theoretical density 15374 kg/m3. Number 4: density of states at the Fermi level 1.04 states/eV/atom, formation energy 301.4 meV/atom, theoretical density 15864 kg/m3. Number 5: density of states at the Fermi level 0.47 states/eV/atom, formation energy 95.7 meV/atom, theoretical density 14640 kg/m3. Number 6: density of states at the Fermi level 0.70 states/eV/atom, formation energy 351.6 meV/atom, theoretical density 16940 kg/m3. Number 7: density of states at the Fermi level 0.57 states/eV/atom, formation energy 371.1 meV/atom, theoretical density 14610 kg/m3. Number 8: density of states at the Fermi level 0.86 states/eV/atom, formation energy 506.5 meV/atom, theoretical density 17170 kg/m3.